Entry from the Alexandria database: an optimized crystal structure of Pm2BeN (PBE).

```
4
Lattice="3.533 0.000 0.000 1.767 3.060 0.000 1.767 1.020 8.716" Properties=species:S:1:pos:R:3 pbc="T T T"
Pm 1.767 1.020 5.719
Be 0.000 0.000 0.000
Pm 5.300 3.060 2.997
N 3.533 2.040 4.358
```

Computed properties:
- Density of states at the Fermi level: 2.8 states/eV/cell
- Energy relative to the elements, uncorrected: -44 meV/atom



Entry from the Alexandria database: an optimized crystal structure of PrPaBiO6 (PBE).

```
18
Lattice="5.861 0.000 0.000 -2.931 5.076 0.000 0.000 0.000 10.132" Properties=species:S:1:pos:R:3 pbc="T T T"
Bi 2.931 1.692 2.533
O -0.902 5.026 1.372
Bi 0.000 3.384 7.599
O 3.901 3.294 8.759
O 0.971 1.782 3.694
O 4.804 1.732 6.438
O 1.873 3.344 1.372
O 1.057 1.732 8.759
O -1.873 3.344 3.694
Pr 0.000 0.000 0.000
O 2.028 0.050 6.438
Pa 0.000 3.384 2.533
O 0.902 5.026 3.694
O 1.960 3.294 6.438
Pr 0.000 0.000 5.066
O 3.833 0.050 8.759
O -0.971 1.782 1.372
Pa 2.931 1.692 7.599
```

Computed properties:
- Density of states at the Fermi level: 10.8 states/eV/cell
- Energy relative to the elements, uncorrected: -2577 meV/atom



Entry from the Alexandria database: an optimized crystal structure of TbDy14Tm (PBE).

```
16
Lattice="7.005 0.940 0.000 -0.940 7.005 0.000 0.000 0.000 9.979" Properties=species:S:1:pos:R:3 pbc="T T T"
Dy 2.510 1.229 4.990
Dy 3.554 6.714 2.492
Tm 2.040 4.730 0.000
Dy 5.542 5.201 0.000
Tb 6.011 1.698 0.000
Dy 2.039 4.731 4.990
Dy 4.023 3.216 7.487
Dy 0.525 2.747 2.492
Dy 0.056 6.244 2.492
Dy 4.023 3.216 2.492
Dy 0.056 6.244 7.487
Dy 2.509 1.228 0.000
Dy 5.541 5.200 4.990
Dy 0.525 2.747 7.487
Dy 3.554 6.714 7.487
Dy 6.012 1.698 4.990
```

Computed properties:
- Density of states at the Fermi level: 18.4 states/eV/cell
- E_form: 0.352 kcal/mol of atoms



Entry from the Alexandria database: an optimized crystal structure of TaCrNi2 (PBE).

```
4
Lattice="2.113 -2.266 2.897 -2.005 -1.420 3.458 -0.791 -4.144 0.442" Properties=species:S:1:pos:R:3 pbc="T T T"
Ni -0.171 -1.957 1.699
Cr 0.000 0.000 0.000
Ni -0.512 -5.872 5.097
Ta -0.342 -3.914 3.398
```

Computed properties:
- Excess energy over the best structure of this formula in the dataset: 123 meV per atom
- Density of states at the Fermi level: 6.0 states/eV/cell
- E_form: 0.534 kcal/mol of atoms



Entry from the Alexandria database: an optimized crystal structure of Ge2SbPPb (PBE).

```
5
Lattice="4.882 0.000 0.000 0.000 5.386 0.000 0.000 0.000 4.882" Properties=species:S:1:pos:R:3 pbc="T T T"
Sb 0.000 2.693 0.000
Ge 0.000 0.000 2.441
Ge 2.441 0.000 0.000
Pb 2.441 2.693 2.441
P 0.000 0.000 0.000
```

Computed properties:
- Density of states at the Fermi level: 2.1 states/eV/cell
- Energy relative to the elements, uncorrected: 425 meV/atom



Entry from the Alexandria database: an optimized crystal structure of KSI2 (PBE).

```
8
Lattice="6.647 0.000 0.000 0.000 6.647 0.000 3.323 3.323 8.687" Properties=species:S:1:pos:R:3 pbc="T T T"
S 3.323 3.323 0.000
I 8.309 7.543 6.515
I 2.427 4.985 2.172
S 3.323 6.647 4.343
K 6.647 3.323 4.343
I 4.985 5.750 6.515
I 4.220 1.662 2.172
K 0.000 0.000 0.000
```

Computed properties:
- Excess energy over the best structure of this formula in the dataset: 28 meV per atom
- Density of states at the Fermi level: 1.8 states/eV/cell
- Energy relative to the elements, uncorrected: -302 meV/atom